No. 1
A geometry-optimized Ce2ErSc structure, computed with PBE.

Geometry as POSCAR:
```
Ce2ErSc
1.0
3.383 0.000 0.000
1.692 2.930 0.000
1.692 0.977 11.240
Ce Er Sc
2 1 1
direct
0.086 0.086 0.742
0.247 0.247 0.259
0.668 0.668 0.995
0.499 0.499 0.504
```

Properties
The density of states at the Fermi level comes out at 10.470 states/eV/cell. The space group is R3m, No. 160. Its formation energy is 0.09 eV per atom. Its energy above the most stable polymorph in this dataset is 0.003 eV/atom. The total energy is -5.602 eV/atom.


No. 2
A geometry-optimized La3ZrBe structure, computed with PBE.

Geometry as POSCAR:
```
La3ZrBe
1.0
-4.627 -0.134 -2.833
2.267 -3.432 -3.540
-1.704 -4.201 2.982
Be Zr La
1 1 3
direct
0.000 0.000 0.000
0.500 0.500 0.500
0.000 0.500 0.000
0.000 0.000 0.500
0.500 0.000 0.000
```

Properties
The density of states at the Fermi level comes out at 10.180 states/eV/cell. The space group is Pm-3m, No. 221. Its formation energy is 0.59 eV per atom. Its energy above the most stable polymorph in this dataset is 0.000 eV/atom. The total energy is -4.822 eV/atom.


No. 3
A geometry-optimized Sr4La structure, computed with PBE.

Geometry as POSCAR:
```
Sr4La
1.0
-2.527 2.527 10.253
2.527 -2.527 10.253
2.527 2.527 -10.253
Sr La
4 1
direct
0.750 0.250 0.500
0.250 0.750 0.500
0.593 0.593 0.000
0.407 0.407 0.000
0.000 0.000 0.000
```

Properties
The density of states at the Fermi level comes out at 9.239 states/eV/cell. The space group is I4/mmm, No. 139. Its formation energy is 0.39 eV per atom. Its energy above the most stable polymorph in this dataset is 0.000 eV/atom. The total energy is -1.937 eV/atom.


No. 4
A geometry-optimized K2ZnAs structure, computed with PBE.

Geometry as POSCAR:
```
K2ZnAs
1.0
5.430 0.000 0.000
2.715 4.703 0.000
2.715 1.568 4.434
As K Zn
1 2 1
direct
0.500 0.500 0.500
0.000 0.000 0.000
0.250 0.250 0.250
0.750 0.750 0.750
```

Properties
The density of states at the Fermi level comes out at 2.256 states/eV/cell. The space group is F-43m, No. 216. Its formation energy is -0.04 eV per atom. Its energy above the most stable polymorph in this dataset is 0.220 eV/atom. The total energy is -2.070 eV/atom.


No. 5
A geometry-optimized LiMnAs structure, computed with PBE.

Geometry as POSCAR:
```
LiMnAs
1.0
6.101 -0.010 0.000
4.748 3.830 0.000
-5.425 -1.910 2.036
As Li Mn
1 1 1
direct
0.010 0.010 0.000
0.339 0.339 0.000
0.651 0.651 0.000
```

Properties
The density of states at the Fermi level comes out at 1.531 states/eV/cell. The space group is I4mm, No. 107. Its formation energy is 0.02 eV per atom. Its energy above the most stable polymorph in this dataset is 0.485 eV/atom. The total energy is -5.223 eV/atom.


No. 6
A geometry-optimized MgSnPd4 structure, computed with PBE.

Geometry as POSCAR:
```
MgSnPd4
1.0
3.616 0.000 1.046
2.034 4.596 -0.260
0.140 -1.691 6.290
Mg Sn Pd
1 1 4
direct
0.500 0.500 0.500
0.000 0.000 0.000
0.831 0.509 0.828
0.333 0.002 0.332
0.169 0.491 0.172
0.667 0.998 0.668
```

Properties
The density of states at the Fermi level comes out at 1.784 states/eV/cell. The space group is C2/m, No. 12. Its formation energy is -0.53 eV per atom. Its energy above the most stable polymorph in this dataset is 0.000 eV/atom. The total energy is -4.928 eV/atom.


No. 7
A geometry-optimized Pm4BeI6 structure, computed with PBE.

Geometry as POSCAR:
```
Pm4BeI6
1.0
-1.428 -6.094 4.420
9.743 -2.858 -0.794
2.280 5.473 8.281
Pm Be I
8 2 12
direct
0.347 0.000 0.228
0.847 0.728 0.500
0.847 0.272 0.500
0.347 0.000 0.772
0.153 0.500 0.728
0.653 0.228 0.000
0.653 0.772 0.000
0.153 0.500 0.272
0.000 0.500 0.500
0.500 0.000 0.000
0.500 0.704 0.296
0.500 0.296 0.296
0.124 0.000 0.500
0.624 0.000 0.500
0.500 0.296 0.704
0.500 0.704 0.704
0.000 0.796 0.796
0.000 0.204 0.796
0.876 0.500 0.000
0.376 0.500 0.000
0.000 0.796 0.204
0.000 0.204 0.204
```

Properties
The space group is P4_2/nmc, No. 137. The total energy is -3.751 eV/atom. The value obtained for the formation energy (no corrections) is -839.4 meV/atom.


No. 8
A geometry-optimized Cs3Tl3AgI8 structure, computed with PBE.

Geometry as POSCAR:
```
Cs3Tl3AgI8
1.0
-6.418 1.126 -8.316
7.424 -7.532 -0.038
-8.161 -0.593 6.218
Cs Tl Ag I
3 3 1 8
direct
0.500 0.000 0.500
0.500 0.500 0.500
0.000 0.500 0.500
0.000 0.000 0.000
0.000 0.500 0.000
0.500 0.500 0.000
0.000 0.000 0.500
0.242 0.484 0.224
0.758 0.516 0.776
0.805 0.610 0.290
0.195 0.390 0.710
0.787 0.984 0.270
0.213 0.016 0.730
0.197 0.984 0.270
0.803 0.016 0.730
```

Properties
The density of states at the Fermi level comes out at 12.800 states/eV/cell. The space group is C2/m, No. 12. The total energy is -2.520 eV/atom. The value obtained for the formation energy (no corrections) is -859.0 meV/atom.


No. 9
A geometry-optimized Nd5Er7 structure, computed with PBE.

Geometry as POSCAR:
```
Nd5Er7
1.0
-4.795 1.736 2.574
2.909 -4.362 2.021
7.295 11.369 5.924
Nd Er
5 7
direct
0.140 0.280 0.435
0.860 0.720 0.565
0.389 0.777 0.201
0.611 0.223 0.799
0.000 0.000 0.000
0.234 0.469 0.673
0.766 0.531 0.327
0.057 0.114 0.215
0.943 0.886 0.785
0.688 0.376 0.083
0.500 0.000 0.500
0.312 0.624 0.917
```

Properties
The density of states at the Fermi level comes out at 19.251 states/eV/cell. The space group is C2/m, No. 12. Its formation energy is 0.18 eV per atom. Its energy above the most stable polymorph in this dataset is 0.175 eV/atom. The total energy is -4.467 eV/atom.


No. 10
A geometry-optimized NaGeP2O8 structure, computed with PBE.

Geometry as POSCAR:
```
NaGeP2O8
1.0
-4.185 -2.327 0.795
4.118 -1.678 1.947
-1.135 4.054 5.893
Na Ge P O
1 1 2 8
direct
0.000 0.000 0.000
0.000 0.000 0.500
0.667 0.333 0.276
0.333 0.667 0.724
0.333 0.667 0.936
0.338 0.273 0.343
0.727 0.064 0.343
0.667 0.333 0.064
0.273 0.936 0.657
0.662 0.727 0.657
0.064 0.338 0.657
0.936 0.662 0.343
```

Properties
The density of states at the Fermi level comes out at 4.787 states/eV/cell. The space group is P-3, No. 147. The total energy is -6.559 eV/atom. The value obtained for the formation energy (no corrections) is -1857.0 meV/atom.


No. 11
A geometry-optimized Ho2AuSe structure, computed with PBE.

Geometry as POSCAR:
```
Ho2AuSe
1.0
-3.810 1.605 -0.960
-1.708 -2.558 2.503
1.912 8.855 7.213
Ho Au Se
4 2 2
direct
0.750 0.680 0.361
0.250 0.320 0.639
0.750 0.933 0.867
0.250 0.067 0.133
0.250 0.454 0.908
0.750 0.546 0.092
0.250 0.193 0.386
0.750 0.807 0.614
```

Properties
The density of states at the Fermi level comes out at 3.675 states/eV/cell. The space group is Cmcm, No. 63. Its energy above the most stable polymorph in this dataset is 0.000 eV/atom. The total energy is -5.296 eV/atom. The value obtained for the formation energy (no corrections) is -1316.7 meV/atom.


No. 12
A geometry-optimized Li2ReW structure, computed with PBE.

Geometry as POSCAR:
```
Li2ReW
1.0
2.616 -0.044 0.000
-1.025 2.407 0.000
0.000 0.000 9.727
Li Re W
2 1 1
direct
0.000 0.000 0.008
0.000 0.000 0.492
0.500 0.500 0.250
0.500 0.500 0.750
```

Properties
The density of states at the Fermi level comes out at 2.568 states/eV/cell. The space group is Cmmm, No. 65. Its formation energy is 0.41 eV per atom. Its energy above the most stable polymorph in this dataset is 0.176 eV/atom. The total energy is -6.899 eV/atom.


Number 7 is which compound? Pm4BeI6